No. 1
Here is a geometry-optimized Pu3Pa2TaN6 structure from Alexandria. Energies are from PBE-GGA.

## Properties
formation energy without anion corrections	-1393.3	meV/atom
space-group type	C2/m (12)
Fermi-level density of states	12.362	states/eV/f.u.
DFT total energy	-140.51	eV per formula unit

Unit cell a=5.932 b=5.932 c=5.928 alpha=99.55 beta=99.55 gamma=119.96
Each line ends with the local moment (μB).
Element x y z (fractional)
Pu (0.166, 0.834, 0.500)  4.83
Pu (0.834, 0.166, 0.500)  4.83
Pu (0.500, 0.500, 0.500)  4.83
Pa (0.333, 0.667, 0.000)  0.19
Pa (0.667, 0.333, 0.000)  0.19
Ta (0.000, 0.000, 0.000)  -0.17
N (0.924, 0.608, 0.773)  -0.08
N (0.761, 0.761, 0.231)  -0.08
N (0.076, 0.392, 0.227)  -0.08
N (0.608, 0.924, 0.773)  -0.08
N (0.239, 0.239, 0.769)  -0.08
N (0.392, 0.076, 0.227)  -0.08

---

No. 2
Here is a geometry-optimized ScAlIn2Mo structure from Alexandria. Energies are from PBE-GGA.

## Properties
space-group type	P4/mmm (123)
Fermi-level density of states	3.602	states/eV/f.u.
DFT total energy	-22.46	eV per formula unit

Unit cell a=4.989 b=4.755 c=4.989 alpha=90.00 beta=90.00 gamma=90.00
Element x y z (fractional)
Sc (0.500, 0.500, 0.500)
Mo (0.000, 0.500, 0.000)
Al (0.000, 0.000, 0.000)
In (0.000, 0.000, 0.500)
In (0.500, 0.000, 0.000)

---

No. 3
Here is a geometry-optimized Sm3HoSb3 structure from Alexandria. Energies are from PBE-GGA.

## Properties
formation energy without anion corrections	-929.7	meV/atom
space-group type	R-3 (148)
Fermi-level density of states	4.812	states/eV/f.u.
DFT total energy	-37.61	eV per formula unit
offset from the most stable computed form	0.67	eV/f.u.

Unit cell a=9.091 b=9.091 c=8.155 alpha=56.13 beta=56.13 gamma=60.00
Element x y z (fractional)
Sm (0.347, 0.821, 0.741)
Sm (0.821, 0.091, 0.741)
Sm (0.091, 0.347, 0.741)
Sm (0.909, 0.653, 0.259)
Sm (0.179, 0.909, 0.259)
Sm (0.653, 0.179, 0.259)
Ho (0.333, 0.333, 0.001)
Ho (0.667, 0.667, 0.999)
Sb (0.306, 0.530, 0.238)
Sb (0.925, 0.306, 0.238)
Sb (0.530, 0.925, 0.238)
Sb (0.470, 0.075, 0.762)
Sb (0.075, 0.694, 0.762)
Sb (0.694, 0.470, 0.762)